[1]
Dy4In2Ir: optimized geometry, PBE-GGA.

Cell lengths 3.7390, 9.1118, 9.0631 Å; angles 138.26, 90.00, 90.00 degrees
With the nearest neighbours (Å) after each atom.
Positions (direct):
1 Dy 0.5000 0.9030 0.7543  2 Ir 2.74
2 Dy 0.0000 0.4493 0.1984  1 Ir 2.70
3 Dy 0.5000 0.2398 0.3886  2 Ir 2.74
4 Dy 0.0000 0.6935 0.9445  1 Ir 2.70
5 In 0.5000 0.3046 0.8029  1 In 3.01, 6 Dy 3.30-3.34
6 In 0.5000 0.8382 0.3400  1 In 3.01, 6 Dy 3.30-3.34
7 Ir 0.0000 0.0714 0.0715  6 Dy 2.70-2.74

Calculated values
- total energy (eV/atom) = -5.09
- space-group type = P2/m, No. 10
- size of the total moment (μB/atom) = 0.0000

***

[2]
DyInIr: optimized geometry, PBE-GGA.

Cell lengths 3.2928, 3.2928, 6.3330 Å; angles 105.07, 105.07, 90.00 degrees
With the nearest neighbours (Å) after each atom.
Positions (direct):
1 Ir 0.9476 0.9476 0.8952  4 In 2.86, 4 Dy 2.91
2 Dy 0.5962 0.5962 0.1924  4 Ir 2.91
3 In 0.3062 0.3062 0.6124  4 Ir 2.86

Calculated values
- total energy (eV/atom) = -5.88
- space-group type = I4mm, No. 107
- size of the total moment (μB/atom) = 0.0000

***

[3]
Dy4InIr: optimized geometry, PBE-GGA.

Cell lengths 9.6616, 9.6616, 9.6616 Å; angles 60.00, 60.00, 60.00 degrees
With the nearest neighbours (Å) after each atom.
Positions (direct):
1 Dy 0.5990 0.5990 0.5990  3 Ir 2.85
2 Dy 0.5990 0.5990 0.2029  3 Ir 2.85
3 Dy 0.5990 0.2029 0.5990  3 Ir 2.85
4 Dy 0.2029 0.5990 0.5990  3 Ir 2.85
5 Dy 0.0580 0.4420 0.4420  2 Ir 2.81
6 Dy 0.4420 0.0580 0.0580  2 Ir 2.81
7 Dy 0.4420 0.0580 0.4420  2 Ir 2.81
8 Dy 0.0580 0.4420 0.0580  2 Ir 2.81
9 Dy 0.4420 0.4420 0.0580  2 Ir 2.81
10 Dy 0.0580 0.0580 0.4420  2 Ir 2.81
11 Dy 0.1898 0.8102 0.8102  2 In 3.24, 6 Dy 3.46-3.60, 2 Ir 3.46
12 Dy 0.8102 0.1898 0.1898  2 In 3.24, 6 Dy 3.46-3.60, 2 Ir 3.46
13 Dy 0.8102 0.1898 0.8102  2 In 3.24, 6 Dy 3.46-3.60, 2 Ir 3.46
14 Dy 0.1898 0.8102 0.1898  2 In 3.24, 6 Dy 3.46-3.60, 2 Ir 3.46
15 Dy 0.8102 0.8102 0.1898  2 In 3.24, 6 Dy 3.46-3.60, 2 Ir 3.46
16 Dy 0.1898 0.1898 0.8102  2 In 3.24, 6 Dy 3.46-3.60, 2 Ir 3.46
17 In 0.8330 0.8330 0.8330  3 In 3.21, 9 Dy 3.24-3.47
18 In 0.8330 0.8330 0.5009  3 In 3.21, 9 Dy 3.24-3.47
19 In 0.8330 0.5009 0.8330  3 In 3.21, 9 Dy 3.24-3.47
20 In 0.5009 0.8330 0.8330  3 In 3.21, 9 Dy 3.24-3.47
21 Ir 0.3910 0.3910 0.3910  6 Dy 2.81-2.85
22 Ir 0.3910 0.3910 0.8269  6 Dy 2.81-2.85
23 Ir 0.3910 0.8269 0.3910  6 Dy 2.81-2.85
24 Ir 0.8269 0.3910 0.3910  6 Dy 2.81-2.85

Calculated values
- polymorph energy (0 for the lowest one) (eV per atom) = 0.000
- space-group type = F-43m, No. 216
- size of the total moment (μB/atom) = 0.0000

***

[4]
Dy6In2Ir: optimized geometry, PBE-GGA.

Cell lengths 5.0735, 7.2576, 8.6782 Å; angles 114.72, 107.00, 90.00 degrees
With the nearest neighbours (Å) after each atom.
Positions (direct):
1 Dy 0.1546 0.3929 0.3093  1 Ir 2.88, 3 In 3.17-3.18
2 Dy 0.8454 0.0836 0.6907  1 Ir 2.88, 3 In 3.17-3.18
3 Dy 0.8454 0.6071 0.6907  1 Ir 2.88, 3 In 3.17-3.18
4 Dy 0.5000 0.2247 0.0000  2 Ir 3.02, 2 In 3.19, 1 Dy 3.26
5 Dy 0.1546 0.9164 0.3093  1 Ir 2.88, 3 In 3.17-3.18
6 Dy 0.5000 0.7753 0.0000  2 Ir 3.02, 2 In 3.19, 1 Dy 3.26
7 In 0.6667 0.6668 0.3336  8 Dy 3.17-3.19
8 In 0.3333 0.3332 0.6664  8 Dy 3.17-3.19
9 Ir 0.0000 0.0000 0.0000  8 Dy 2.88-3.02

Calculated values
- polymorph energy (0 for the lowest one) (eV per atom) = 0.168
- space-group type = Immm, No. 71
- size of the total moment (μB/atom) = 0.0000

***

[5]
Dy7InIr2: optimized geometry, PBE-GGA.

Cell lengths 5.2756, 8.1477, 8.1478 Å; angles 114.09, 90.00, 90.00 degrees
With the nearest neighbours (Å) after each atom.
Positions (direct):
1 Dy 0.0000 0.7155 0.2845  2 Ir 2.64
2 Dy 0.0000 0.2845 0.7155  2 Ir 2.64
3 Dy 0.5000 0.0563 0.3157  2 Ir 2.82-2.96
4 Dy 0.5000 0.9437 0.6843  2 Ir 2.82-2.96
5 Dy 0.5000 0.3157 0.0563  2 Ir 2.82-2.96
6 Dy 0.5000 0.6843 0.9437  2 Ir 2.82-2.96
7 Dy 0.5000 0.5000 0.5000  2 Ir 2.78
8 In 0.0000 0.0000 0.0000  10 Dy 3.58-3.89
9 Ir 0.5000 0.7032 0.2968  7 Dy 2.64-2.96
10 Ir 0.5000 0.2968 0.7032  7 Dy 2.64-2.96

Calculated values
- total energy (eV/atom) = -5.57
- space-group type = Cmmm, No. 65
- size of the total moment (μB/atom) = 0.0000

***

[6]
Dy8In2Ir: optimized geometry, PBE-GGA.

Cell lengths 5.1078, 6.6761, 9.8310 Å; angles 105.93, 105.06, 90.00 degrees
With the nearest neighbours (Å) after each atom.
Positions (direct):
1 Dy 0.4107 0.5576 0.8214  1 Ir 2.96
2 Dy 0.6455 0.9792 0.2910  1 Ir 2.81
3 Dy 0.7873 0.6892 0.5745  3 In 3.12-3.33, 2 Dy 3.38
4 Dy 0.9809 0.2149 0.9618  2 Ir 3.00, 3 Dy 3.15-3.36, 1 In 3.17
5 Dy 0.2127 0.3108 0.4255  3 In 3.12-3.33, 2 Dy 3.38
6 Dy 0.3545 0.0208 0.7090  1 Ir 2.81
7 Dy 0.5893 0.4424 0.1786  1 Ir 2.96
8 Dy 0.0191 0.7851 0.0382  2 Ir 3.00, 3 Dy 3.15-3.36, 1 In 3.17
9 In 0.8185 0.2557 0.6369  9 Dy 3.12-3.41
10 In 0.1815 0.7443 0.3631  9 Dy 3.12-3.41
11 Ir 0.5000 0.0000 0.0000  8 Dy 2.81-3.00

Calculated values
- total energy (eV/atom) = -5.00
- space-group type = C2/m, No. 12
- size of the total moment (μB/atom) = 0.0000